VASP calculation (PBE) on a relaxed TcTe crystal.

Unit cell a=6.0603 b=4.2629 c=7.8335 alpha=90.00 beta=92.49 gamma=90.00
Space group C2/m (No. 12)
One atom of each set of equivalent atoms:
Tc1 0.2163 0.0000 0.0727
Te1 0.1211 0.0000 0.7235

Output
Energy above the most stable polymorph in this dataset in eV per atom: 0.0033
DOS at the Fermi energy in states/eV per atom: 0.66
Total magnetization in μB per formula unit: 0.000
Formation energy (no corrections) in meV per atom: 68